# MgPbBr

MgPbBr after structural relaxation (PBE-GGA, Alexandria).

abc: 3.403 3.403 15.741
angles: 90.00 90.00 90.00
Space group I4mm (No. 107)
Asymmetric unit:
Mg 0.000 0.000 0.000 x2
Pb 0.000 0.000 0.349 x2
Br 0.000 0.000 0.598 x2

Summary:
- N(E_F) (states/eV/f.u.) = 1.14
- total magnetization (μB per cell) = 0.00
- relative energy among the computed polymorphs (meV/atom) = 136
- energy relative to the elements, uncorrected (eV per atom) = -0.455
- density (g/cm3) = 5.675